--- one ---
A plane-wave DFT calculation with GGA-PBE was carried out for a geometry-optimized Na2InAg2 structure.

```
Na2InAg2
1.0
7.3628 0.0000 0.0000
0.0000 7.3628 0.0000
0.0000 0.0000 4.5445
In Ag Na
2 4 4
Cartesian
3.6814 3.6814 0.0000 In
0.0000 0.0000 0.0000 In
0.9960 2.6854 0.0000 Ag
2.6854 6.3668 0.0000 Ag
4.6774 0.9960 0.0000 Ag
6.3668 4.6774 0.0000 Ag
6.1276 2.4463 2.2723 Na
4.9165 6.1276 2.2723 Na
2.4463 1.2351 2.2723 Na
1.2351 4.9165 2.2723 Na
```

Results
Its space group is No. 127.

--- two ---
A plane-wave DFT calculation with GGA-PBE was carried out for a geometry-optimized Na2InAg2 structure.

```
Na2InAg2
1.0
-2.6987 -8.1997 -0.8953
8.2240 -2.7473 0.3714
-0.2277 -0.2631 3.0961
Ag In Na
4 2 4
Cartesian
4.9119 -3.3156 1.6471 Ag
0.3856 -7.8945 0.9251 Ag
0.3432 -3.3297 1.3099 Ag
4.9544 -7.8804 1.2623 Ag
2.7626 -5.4735 -0.2619 In
0.0000 0.0000 0.0000 In
2.8597 -8.8513 -0.5419 Na
6.1429 -5.3975 -0.0069 Na
-0.6177 -5.5495 -0.5170 Na
2.6655 -2.0957 0.0180 Na
```

Results
Its space group is No. 127.

Most stable of them? one.